# 1
# Rb2SnHI6

Crystalline Rb2SnHI6 at its relaxed geometry (GGA-PBE, the Alexandria database).

Unit cell a=8.569 b=8.569 c=8.569 alpha=125.55 beta=125.55 gamma=80.62
Atoms (fractional coordinates):
Rb: 0.250 0.750 0.500
Rb: 0.750 0.250 0.500
Sn: 0.000 0.000 0.000
H: 0.500 0.500 0.000
I: 0.230 0.230 0.000
I: 0.265 0.265 0.529
I: 0.265 0.735 0.000
I: 0.735 0.265 0.000
I: 0.735 0.735 0.471
I: 0.770 0.770 0.000

Values from the calculation:
calculated volume	40.17	A^3/atom
final energy	-0.1784	Ry/atom

---

# 2
# LaCoGe3

Crystalline LaCoGe3 at its relaxed geometry (GGA-PBE, the Alexandria database).

Unit cell a=4.225 b=4.250 c=11.155 alpha=90.00 beta=100.80 gamma=90.00
Atoms (fractional coordinates):
La: 0.168 0.000 0.336
La: 0.832 0.000 0.664
Co: 0.394 0.500 0.787
Co: 0.606 0.500 0.213
Ge: 0.057 0.500 0.114
Ge: 0.286 0.500 0.572
Ge: 0.443 0.000 0.886
Ge: 0.557 0.000 0.114
Ge: 0.714 0.500 0.428
Ge: 0.943 0.500 0.886

Values from the calculation:
calculated volume	19.68	A^3/atom
formation energy	-0.55	eV per atom

---

# 3
# Tm3AlNi8

Crystalline Tm3AlNi8 at its relaxed geometry (GGA-PBE, the Alexandria database).

Unit cell a=8.588 b=8.588 c=8.588 alpha=33.47 beta=33.47 gamma=33.47
Atoms (fractional coordinates):
Tm: 0.000 0.000 0.000
Tm: 0.128 0.128 0.128
Tm: 0.511 0.511 0.511
Al: 0.634 0.634 0.634
Ni: 0.063 0.567 0.567
Ni: 0.069 0.069 0.567
Ni: 0.069 0.567 0.069
Ni: 0.316 0.316 0.316
Ni: 0.567 0.063 0.567
Ni: 0.567 0.069 0.069
Ni: 0.567 0.567 0.063
Ni: 0.816 0.816 0.816

Values from the calculation:
calculated volume	14.30	A^3/atom
formation energy	-0.48	eV per atom
E above lowest polymorph	0.023	eV per atom

---

# 4
# MgCrAg2Hg

Crystalline MgCrAg2Hg at its relaxed geometry (GGA-PBE, the Alexandria database).

Unit cell a=5.231 b=5.231 c=5.164 alpha=90.00 beta=90.00 gamma=90.00
Atoms (fractional coordinates):
Mg: 0.000 0.000 0.000
Cr: 0.500 0.500 0.000
Ag: 0.000 0.500 0.500
Ag: 0.500 0.000 0.500
Hg: 0.500 0.500 0.500

Values from the calculation:
calculated volume	28.26	A^3/atom
formation energy	0.84	eV per atom

---

# 5
# Sm3ErHg5

Crystalline Sm3ErHg5 at its relaxed geometry (GGA-PBE, the Alexandria database).

Unit cell a=9.203 b=9.203 c=6.589 alpha=90.00 beta=90.00 gamma=120.00
Atoms (fractional coordinates):
Sm: 0.000 0.371 0.250
Sm: 0.000 0.629 0.750
Sm: 0.371 0.000 0.250
Sm: 0.371 0.371 0.750
Sm: 0.629 0.000 0.750
Sm: 0.629 0.629 0.250
Er: 0.000 0.000 0.000
Er: 0.000 0.000 0.500
Hg: 0.000 0.294 0.750
Hg: 0.000 0.706 0.250
Hg: 0.294 0.000 0.750
Hg: 0.294 0.294 0.250
Hg: 0.333 0.667 0.000
Hg: 0.333 0.667 0.500
Hg: 0.667 0.333 0.000
Hg: 0.667 0.333 0.500
Hg: 0.706 0.000 0.250
Hg: 0.706 0.706 0.750

Values from the calculation:
calculated volume	26.85	A^3/atom
formation energy	-0.43	eV per atom

---

# 6
# MgB3Ru

Crystalline MgB3Ru at its relaxed geometry (GGA-PBE, the Alexandria database).

Unit cell a=4.088 b=4.088 c=4.088 alpha=90.00 beta=90.00 gamma=90.00
Atoms (fractional coordinates):
Mg: 0.000 0.000 0.000
B: 0.000 0.500 0.500
B: 0.500 0.000 0.500
B: 0.500 0.500 0.000
Ru: 0.500 0.500 0.500

Values from the calculation:
calculated volume	13.66	A^3/atom
formation energy	0.85	eV per atom
E above lowest polymorph	0.000	eV per atom

---

# 7
# AcPr2NdTm

Crystalline AcPr2NdTm at its relaxed geometry (GGA-PBE, the Alexandria database).

Unit cell a=7.421 b=7.421 c=7.492 alpha=90.00 beta=90.00 gamma=111.67
Atoms (fractional coordinates):
Ac: 0.242 0.758 0.750
Ac: 0.758 0.242 0.250
Pr: 0.302 0.302 0.000
Pr: 0.302 0.302 0.500
Pr: 0.698 0.698 0.000
Pr: 0.698 0.698 0.500
Nd: 0.061 0.939 0.250
Nd: 0.939 0.061 0.750
Tm: 0.309 0.691 0.250
Tm: 0.691 0.309 0.750

Values from the calculation:
calculated volume	38.34	A^3/atom
formation energy	0.34	eV per atom

---

# 8
# La6Pm2Hg

Crystalline La6Pm2Hg at its relaxed geometry (GGA-PBE, the Alexandria database).

Unit cell a=9.836 b=9.836 c=3.777 alpha=90.00 beta=90.00 gamma=120.00
Atoms (fractional coordinates):
La: 0.000 0.275 0.000
La: 0.000 0.626 0.500
La: 0.275 0.000 0.000
La: 0.374 0.374 0.500
La: 0.626 0.000 0.500
La: 0.725 0.725 0.000
Pm: 0.333 0.667 0.000
Pm: 0.667 0.333 0.000
Hg: 0.000 0.000 0.500

Values from the calculation:
calculated volume	35.16	A^3/atom
formation energy	-0.10	eV per atom